No. 1
The following is a DFT calculation (PBE-GGA) of a relaxed structure of Th2Cd3In2.

Summary:
The total energy comes out at -3.48 eV/atom. Its calculated formation energy is -0.19 eV per atom. As for the magnetic moment: 0.00 μB/f.u. As for the energy above the most stable polymorph in this dataset: 0 meV/atom.

Cell and atoms, written as POSCAR:
```
Th2Cd3In2
1.0
4.781 0.000 0.000
-2.390 5.396 -1.766
0.000 -0.425 7.219
In Th Cd
2 2 3
direct
0.850 0.701 0.761
0.150 0.299 0.239
0.153 0.306 0.774
0.847 0.694 0.226
0.597 0.195 0.429
0.500 0.000 0.000
0.403 0.805 0.571
```

---

No. 2
The following is a DFT calculation (PBE-GGA) of a relaxed structure of Cs2TlN.

Summary:
The total energy comes out at -2.14 eV/atom. As for the magnetic moment: 0.00 μB/f.u. As for the energy above the most stable polymorph in this dataset: 487 meV/atom.

Cell and atoms, written as POSCAR:
```
Cs2TlN
1.0
4.303 1.885 3.447
-0.634 4.948 3.011
-0.619 -0.172 5.791
Cs N Tl
2 1 1
direct
0.250 0.250 0.250
0.750 0.750 0.750
0.000 0.000 0.000
0.500 0.500 0.500
```

---

Repeat the first record exactly.
The following is a DFT calculation (PBE-GGA) of a relaxed structure of Th2Cd3In2.

Summary:
The total energy comes out at -3.48 eV/atom. Its calculated formation energy is -0.19 eV per atom. As for the magnetic moment: 0.00 μB/f.u. As for the energy above the most stable polymorph in this dataset: 0 meV/atom.

Cell and atoms, written as POSCAR:
```
Th2Cd3In2
1.0
4.781 0.000 0.000
-2.390 5.396 -1.766
0.000 -0.425 7.219
In Th Cd
2 2 3
direct
0.850 0.701 0.761
0.150 0.299 0.239
0.153 0.306 0.774
0.847 0.694 0.226
0.597 0.195 0.429
0.500 0.000 0.000
0.403 0.805 0.571
```